ErAs2Pd6 after structural relaxation, computed with PBE-GGA.

Summary:
final energy	-5.51	eV/atom
total moment	0.0	μB per cell
SG	No. 71
ρ	9.735	g cm⁻³
E_form	-0.50	eV/atom

Cell lengths 4.280, 6.719, 6.719 Å; angles 65.72, 71.46, 71.46 degrees
Fractional positions:
Pd 0.175 0.129 0.522
Pd 0.500 0.290 0.710
Pd 0.500 0.710 0.290
Pd 0.825 0.871 0.478
Pd 0.175 0.522 0.129
Pd 0.825 0.478 0.871
As 0.699 0.301 0.301
As 0.301 0.699 0.699
Er 0.000 0.000 0.000